PrB2Pt5 | PBE-GGA | relaxed

- Formation energy: -0.59 eV/atom
- Volume: 15.3 Å³/atom

Lattice parameters (Å, degrees): 4.089 6.575 9.117 90.00 90.00 90.00
Space group Immm (No. 71)
Asymmetric unit:
Pr 0.000 0.000 0.000 [2 per cell]
B 0.000 0.500 0.242 [4 per cell]
Pt 0.000 0.210 0.345 [8 per cell]
Pt 0.000 0.500 0.000 [2 per cell]